4
Lattice="-2.607 3.632 -3.234 -5.050 -1.206 -1.869 3.067 0.586 4.550" Properties=species:S:1:pos:R:3 comment="YMo2Ir | Alexandria via LeMat-Bulk | PBE-GGA | optimized geometry" e_tot_ev_per_atom=-9.15 formation_energy_ev_per_atom=0.097 crystal_system=orthorhombic pbc="T T T"
Ir -2.906 0.297 0.064
Mo -0.053 0.017 -0.035
Mo -3.775 1.197 -2.517
Y -1.684 2.716 -0.618

***

4
Lattice="-3.284 3.228 1.546 -2.932 -3.630 1.350 1.249 -0.012 2.680" Properties=species:S:1:pos:R:3 comment="YMoIr2 | Alexandria via LeMat-Bulk | PBE-GGA | optimized geometry" e_tot_ev_per_atom=-8.92 formation_energy_ev_per_atom=-0.166 crystal_system=tetragonal pbc="T T T"
Ir 0.000 0.000 0.000
Ir -3.108 -0.201 1.448
Mo -1.018 1.608 2.113
Y -0.841 -1.821 2.015

***

8
Lattice="7.790 0.000 0.000 0.000 7.790 0.000 3.895 3.895 2.939" Properties=species:S:1:pos:R:3 comment="Y2MoIr | Alexandria via LeMat-Bulk | PBE-GGA | optimized geometry" e_tot_ev_per_atom=-7.77 formation_energy_ev_per_atom=0.384 crystal_system=tetragonal pbc="T T T"
Y 6.044 1.947 0.735
Y 1.746 5.842 0.735
Y 5.842 5.641 2.204
Y 9.737 9.939 2.204
Mo 3.895 3.895 0.000
Mo 3.895 7.790 1.469
Ir 0.000 0.000 0.000
Ir 7.790 3.895 1.469

***

4
Lattice="-3.684 3.010 0.552 -4.521 0.692 -1.423 -2.794 -2.817 4.491" Properties=species:S:1:pos:R:3 comment="Y2MoIr | Alexandria via LeMat-Bulk | PBE-GGA | optimized geometry" e_tot_ev_per_atom=-7.93 formation_energy_ev_per_atom=0.228 crystal_system=monoclinic pbc="T T T"
Ir -8.250 0.664 2.715
Mo -2.750 0.221 0.905
Y -2.835 -2.774 4.457
Y -5.459 0.399 1.844

***

4
Lattice="-6.786 -3.705 1.000 4.236 -0.433 2.548 -1.665 0.700 2.884" Properties=species:S:1:pos:R:3 comment="Y2MoIr | Alexandria via LeMat-Bulk | PBE-GGA | optimized geometry" e_tot_ev_per_atom=-8.21 formation_energy_ev_per_atom=-0.054 crystal_system=orthorhombic pbc="T T T"
Ir 1.286 0.133 2.716
Mo -1.275 -2.069 1.774
Y 0.000 0.000 0.000
Y -4.225 -1.503 1.942

***

4
Lattice="5.157 0.018 0.007 4.311 2.830 0.007 0.937 0.282 4.849" Properties=species:S:1:pos:R:3 comment="YMoIr2 | Alexandria via LeMat-Bulk | PBE-GGA | optimized geometry" e_tot_ev_per_atom=-8.91 formation_energy_ev_per_atom=-0.151 crystal_system=monoclinic pbc="T T T"
Ir 0.174 0.052 0.028
Ir 7.734 2.326 3.462
Mo 5.035 1.515 2.758
Y 2.664 0.801 1.048

***

10
Lattice="-3.837 4.442 -5.260 -5.205 -5.813 -1.112 -1.608 1.046 2.056" Properties=species:S:1:pos:R:3 comment="YMo2Ir2 | Alexandria via LeMat-Bulk | PBE-GGA | optimized geometry" e_tot_ev_per_atom=-9.36 formation_energy_ev_per_atom=-0.186 crystal_system=tetragonal pbc="T T T"
Y 0.000 0.000 0.000
Y -4.521 -0.686 -3.186
Mo -6.058 -3.431 -2.991
Mo -6.601 0.327 -5.327
Mo -2.984 2.059 -3.380
Mo -2.441 -1.699 -1.044
Ir -4.964 -2.620 -0.625
Ir -7.692 -1.303 -3.428
Ir -5.686 2.294 -3.690
Ir -2.958 0.978 -0.887

***

4
Lattice="2.972 0.000 0.000 0.000 2.984 0.002 0.000 2.983 7.819" Properties=species:S:1:pos:R:3 comment="YMoIr2 | Alexandria via LeMat-Bulk | PBE-GGA | optimized geometry" e_tot_ev_per_atom=-9.09 formation_energy_ev_per_atom=-0.337 crystal_system=orthorhombic pbc="T T T"
Ir 0.000 2.985 0.248
Ir 0.000 2.983 3.666
Mo 1.486 1.492 1.955
Y 1.486 4.475 5.866

***

10
Lattice="5.622 0.004 -0.002 2.771 5.107 0.000 1.575 -0.639 7.548" Properties=species:S:1:pos:R:3 comment="Y2Mo2Ir | Alexandria via LeMat-Bulk | PBE-GGA | optimized geometry" e_tot_ev_per_atom=-8.87 formation_energy_ev_per_atom=-0.178 crystal_system=triclinic pbc="T T T"
Y 7.794 3.148 6.495
Y 2.174 1.324 1.051
Y 2.201 -0.306 4.942
Y 7.767 4.778 2.603
Mo 4.932 2.975 1.942
Mo 5.036 1.497 5.603
Mo 6.457 2.253 3.763
Mo 3.511 2.218 3.782
Ir 3.460 3.964 0.024
Ir 6.508 0.508 7.521

***

10
Lattice="-3.416 1.387 -2.605 -2.474 -4.092 -2.842 -7.829 -2.082 5.257" Properties=species:S:1:pos:R:3 comment="Y2Mo2Ir | Alexandria via LeMat-Bulk | PBE-GGA | optimized geometry" e_tot_ev_per_atom=-8.80 formation_energy_ev_per_atom=-0.113 crystal_system=triclinic pbc="T T T"
Y -4.434 0.583 -1.559
Y -4.014 -2.395 0.218
Y -9.062 -2.012 3.127
Y -9.239 -4.126 -1.675
Mo -7.622 -3.122 0.648
Mo -9.158 -4.880 1.728
Mo -10.773 -3.006 0.930
Mo -5.896 -2.572 2.590
Ir -4.599 -2.199 -2.805
Ir -6.247 -3.822 -1.529

***

5
Lattice="5.373 3.026 6.754 6.307 5.992 2.822 -7.655 -2.949 -4.043" Properties=species:S:1:pos:R:3 comment="Y2Mo2Ir | Alexandria via LeMat-Bulk | PBE-GGA | optimized geometry" e_tot_ev_per_atom=-8.58 formation_energy_ev_per_atom=0.111 crystal_system=tetragonal pbc="T T T"
Y 6.943 5.361 5.693
Y 4.736 3.657 3.883
Mo 2.246 3.776 1.784
Mo 1.779 2.293 3.749
Ir 0.000 0.000 0.000

***

20
Lattice="-7.694 5.429 -1.095 -2.055 -2.241 3.326 4.192 5.893 6.559" Properties=species:S:1:pos:R:3 comment="Y2Mo2Ir | Alexandria via LeMat-Bulk | PBE-GGA | optimized geometry" e_tot_ev_per_atom=-8.84 formation_energy_ev_per_atom=-0.147 crystal_system=monoclinic pbc="T T T"
Y -2.727 9.619 4.795
Y -5.850 5.552 3.179
Y -2.665 6.874 2.985
Y -5.788 2.808 1.369
Y -6.841 6.543 0.183
Y -5.772 8.369 5.125
Y -0.073 7.635 5.098
Y -3.196 3.568 3.482
Mo -2.158 2.754 0.522
Mo -1.090 4.579 5.464
Mo 1.156 5.091 4.144
Mo -1.967 1.024 2.528
Mo 2.703 6.283 5.902
Mo -0.420 2.216 4.286
Mo -0.515 3.876 2.294
Mo 0.554 5.702 7.236
Ir -5.441 8.252 2.199
Ir -4.372 10.078 7.142
Ir -3.755 4.868 0.960
Ir -2.686 6.694 5.903